No. 1
VASP calculation (PBE) on a geometry-optimized MoSIBr2 structure.

a = 5.708 Å, b = 5.708 Å, c = 5.681 Å
α = 90.00°, β = 90.00°, γ = 90.00°
Sites, in units of the cell vectors:
Mo1 0.000 0.000 0.000
S1 0.500 0.500 0.000
I1 0.000 0.000 0.500
Br1 0.000 0.500 0.500
Br2 0.500 0.000 0.500

Space group: P4/mmm (123)
Total magnetic moment, μB per formula unit: 3.1
V, Å³ per atom: 37.02

***

No. 2
VASP calculation (PBE) on a geometry-optimized SbMoI2Br structure.

a = 5.398 Å, b = 5.398 Å, c = 5.376 Å
α = 90.00°, β = 90.00°, γ = 90.00°
Sites, in units of the cell vectors:
Sb1 0.000 0.000 0.000
Mo1 0.000 0.000 0.500
I1 0.000 0.500 0.500
I2 0.500 0.000 0.500
Br1 0.500 0.500 0.000

Space group: P4/mmm (123)
Total magnetic moment, μB per formula unit: 0.0
V, Å³ per atom: 31.34

***

No. 3
VASP calculation (PBE) on a geometry-optimized SbMoI2Br structure.

a = 5.743 Å, b = 5.743 Å, c = 5.833 Å
α = 90.00°, β = 90.00°, γ = 90.00°
Sites, in units of the cell vectors:
Sb1 0.000 0.000 0.000
Mo1 0.500 0.500 0.000
I1 0.000 0.500 0.500
I2 0.500 0.000 0.500
Br1 0.000 0.000 0.500

Space group: P4/mmm (123)
Total magnetic moment, μB per formula unit: 3.7
V, Å³ per atom: 38.47

***

No. 4
VASP calculation (PBE) on a geometry-optimized MoSe2IBr structure.

a = 4.980 Å, b = 4.980 Å, c = 5.149 Å
α = 90.00°, β = 90.00°, γ = 90.00°
Sites, in units of the cell vectors:
Mo1 0.000 0.000 0.000
Se1 0.000 0.500 0.000
Se2 0.500 0.000 0.000
I1 0.500 0.500 0.500
Br1 0.000 0.000 0.500

Space group: P4/mmm (123)
Total magnetic moment, μB per formula unit: 0.0
V, Å³ per atom: 25.54

***

No. 5
VASP calculation (PBE) on a geometry-optimized TeMoI2Br structure.

a = 5.745 Å, b = 5.745 Å, c = 5.866 Å
α = 90.00°, β = 90.00°, γ = 90.00°
Sites, in units of the cell vectors:
Te1 0.000 0.000 0.000
Mo1 0.500 0.500 0.000
I1 0.000 0.500 0.500
I2 0.500 0.000 0.500
Br1 0.000 0.000 0.500

Space group: P4/mmm (123)
Total magnetic moment, μB per formula unit: 4.0
V, Å³ per atom: 38.73

***

No. 6
VASP calculation (PBE) on a geometry-optimized Te2MoIBr structure.

a = 5.669 Å, b = 5.669 Å, c = 5.668 Å
α = 90.00°, β = 90.00°, γ = 90.00°
Sites, in units of the cell vectors:
Te1 0.000 0.500 0.000
Te2 0.500 0.000 0.000
Mo1 0.000 0.000 0.500
I1 0.500 0.500 0.500
Br1 0.500 0.500 0.000

Space group: P4/mmm (123)
Total magnetic moment, μB per formula unit: 3.5
V, Å³ per atom: 36.44

***

What are the ΔE_f (raw) values for these records? In order: 621, 160, 661, 64, 607, 663 kJ/mol of formula units.
What are the E_tot values for these records? In order: -13.413, -18.069, -12.878, -20.364, -12.455, -13.464 eV/cell.